1.
This record from Alexandria describes a geometry-optimized SbAsF3 structure. The functional is PBE.

Summary:
Relative energy among the computed polymorphs = 258 meV/atom
DOS(E_F) = 2.25 states/eV/cell
Calculated density = 4.970 g/cm³

Lattice parameters (Å, degrees): 4.3926 4.3926 4.3926 90.00 90.00 90.00
Last column: nearest neighbours and their distance in Å.
Sites, in units of the cell vectors:
F  0.0000  0.5000  0.0000  2 As 2.20
F  0.5000  0.0000  0.0000  2 As 2.20
F  0.0000  0.0000  0.5000  2 As 2.20
As  0.0000  0.0000  0.0000  6 F 2.20
Sb  0.5000  0.5000  0.5000  12 F 3.11

2.
This record from Alexandria describes a geometry-optimized BePt2W structure. The functional is PBE.

Summary:
Calculated formation energy = 0.027 eV/atom
DOS(E_F) = 2.80 states/eV/cell
Calculated density = 16.806 g/cm³

Lattice parameters (Å, degrees): 3.9365 3.8254 3.8254 90.00 90.00 90.00
Last column: nearest neighbours and their distance in Å.
Sites, in units of the cell vectors:
Pt  0.0000  0.0000  0.0000  4 Pt 2.70, 4 W 2.74, 4 Be 2.74
Pt  0.0000  0.5000  0.5000  4 Pt 2.70, 4 W 2.74, 4 Be 2.74
W  0.5000  0.5000  0.0000  4 Be 2.70, 8 Pt 2.74
Be  0.5000  0.0000  0.5000  4 W 2.70, 8 Pt 2.74

3.
This record from Alexandria describes a geometry-optimized Pu3Si2SnAu6 structure. The functional is PBE.

Summary:
DOS(E_F) = 47.84 states/eV/cell
Calculated density = 12.140 g/cm³
Total DFT energy (no corrections) = -0.2421 Ha/atom

Lattice parameters (Å, degrees): 6.4301 6.4301 7.9789 90.00 90.00 120.00
Last column: nearest neighbours and their distance in Å.
Sites, in units of the cell vectors:
Sn  0.0000  0.0000  0.5000  6 Au 2.74
Si  0.6667  0.3333  0.9638  3 Au 2.51
Si  0.3333  0.6667  0.0362  3 Au 2.51
Au  0.8165  0.6330  0.7294  1 Si 2.51, 1 Sn 2.74
Au  0.1835  0.8165  0.2706  1 Si 2.51, 1 Sn 2.74
Au  0.8165  0.1835  0.7294  1 Si 2.51, 1 Sn 2.74
Au  0.1835  0.3670  0.2706  1 Si 2.51, 1 Sn 2.74
Au  0.6330  0.8165  0.2706  1 Si 2.51, 1 Sn 2.74
Au  0.3670  0.1835  0.7294  1 Si 2.51, 1 Sn 2.74
Pu  0.0000  0.0000  0.0000  6 Au 2.97
Pu  0.6667  0.3333  0.3467  1 Si 3.06, 6 Au 3.28
Pu  0.3333  0.6667  0.6533  1 Si 3.06, 6 Au 3.28

4.
This record from Alexandria describes a geometry-optimized MgAl2TeS6 structure. The functional is PBE.

Summary:
Calculated density = 3.015 g/cm³
Total DFT energy (no corrections) = -0.1636 Ha/atom

Lattice parameters (Å, degrees): 6.7211 8.2315 8.2315 82.22 79.84 79.84
Last column: nearest neighbours and their distance in Å.
Sites, in units of the cell vectors:
Al  0.2470  0.7901  0.6041  4 S 2.24-2.35
Al  0.2530  0.3959  0.2099  4 S 2.24-2.35
Al  0.7470  0.6041  0.7901  4 S 2.24-2.35
Al  0.7530  0.2099  0.3959  4 S 2.24-2.35
S  0.6122  0.0886  0.6396  1 Al 2.24, 1 Mg 2.51
S  0.5450  0.4291  0.2926  2 Al 2.25-2.26
S  0.1122  0.6396  0.0886  1 Al 2.24, 1 Mg 2.51
S  0.8646  0.0145  0.2020  1 Al 2.35, 1 Te 2.53, 1 Mg 2.62
S  0.0450  0.2926  0.4291  2 Al 2.25-2.26
S  0.3646  0.2020  0.0145  1 Al 2.35, 1 Te 2.53, 1 Mg 2.62
S  0.3878  0.9114  0.3604  1 Al 2.24, 1 Mg 2.51
S  0.4550  0.5709  0.7074  2 Al 2.25-2.26
S  0.6354  0.7980  0.9855  1 Al 2.35, 1 Te 2.53, 1 Mg 2.62
S  0.1354  0.9855  0.7980  1 Al 2.35, 1 Te 2.53, 1 Mg 2.62
S  0.9550  0.7074  0.5709  2 Al 2.25-2.26
S  0.8878  0.3604  0.9114  1 Al 2.24, 1 Mg 2.51
Te  0.7500  0.7333  0.2667  4 S 2.53-2.66
Te  0.2500  0.2667  0.7333  4 S 2.53-2.66
Mg  0.2500  0.9016  0.0984  6 S 2.51-2.68
Mg  0.7500  0.0984  0.9016  6 S 2.51-2.68

5.
This record from Alexandria describes a geometry-optimized Na3CaNp3Se8 structure. The functional is PBE.

Summary:
DOS(E_F) = 20.65 states/eV/cell
Calculated density = 5.713 g/cm³
Total DFT energy (no corrections) = -0.2237 Ha/atom

Lattice parameters (Å, degrees): 8.3758 8.3770 8.4691 119.70 89.84 120.11
Last column: nearest neighbours and their distance in Å.
Sites, in units of the cell vectors:
Np  0.5000  0.5000  0.5000  6 Se 2.85-2.92
Np  0.0000  0.5000  0.5000  6 Se 2.84-2.91
Np  0.5000  0.0000  0.5000  6 Se 2.84-2.91
Se  0.7445  0.4885  0.7331  3 Np 2.91-2.92, 3 Na 3.04-3.05
Se  0.2476  0.9765  0.7243  2 Np 2.84, 1 Ca 2.96, 2 Na 3.12
Se  0.2555  0.5115  0.2669  3 Np 2.91-2.92, 3 Na 3.04-3.05
Se  0.7524  0.0235  0.2757  2 Np 2.84, 1 Ca 2.96, 2 Na 3.12
Se  0.2482  0.4956  0.7268  2 Np 2.85-2.86, 1 Ca 2.95, 2 Na 3.10-3.11
Se  0.2690  0.0216  0.2731  2 Np 2.85-2.86, 1 Ca 2.95, 2 Na 3.11
Se  0.7310  0.9784  0.7269  2 Np 2.85-2.86, 1 Ca 2.95, 2 Na 3.11
Se  0.7518  0.5044  0.2732  2 Np 2.85-2.86, 1 Ca 2.95, 2 Na 3.10-3.11
Na  0.0000  0.0000  0.0000  6 Se 3.05-3.12
Na  0.5000  0.5000  0.0000  6 Se 3.04-3.12
Na  0.0000  0.5000  0.0000  6 Se 3.05-3.11
Ca  0.0000  0.0000  0.5000  6 Se 2.95-2.96

6.
This record from Alexandria describes a geometry-optimized VGa2AgSn structure. The functional is PBE.

Summary:
Calculated formation energy = 0.829 eV/atom
DOS(E_F) = 8.52 states/eV/cell
Calculated density = 5.930 g/cm³

Lattice parameters (Å, degrees): 4.7617 5.1497 4.7617 90.00 90.00 90.00
Last column: nearest neighbours and their distance in Å.
Sites, in units of the cell vectors:
Ga  0.0000  0.0000  0.5000  2 Ag 2.38
Ga  0.5000  0.0000  0.0000  2 Ag 2.38
Ag  0.0000  0.0000  0.0000  4 Ga 2.38, 2 V 2.57
Sn  0.5000  0.5000  0.5000  4 V 3.37, 8 Ga 3.51
V  0.0000  0.5000  0.0000  2 Ag 2.57

7.
This record from Alexandria describes a geometry-optimized HfThZn structure. The functional is PBE.

Summary:
Relative energy among the computed polymorphs = 0 meV/atom
Calculated formation energy = -0.033 eV/atom
DOS(E_F) = 3.35 states/eV/cell
Calculated density = 11.187 g/cm³

Lattice parameters (Å, degrees): 3.3728 3.3728 6.6525 104.68 104.68 90.00
Last column: nearest neighbours and their distance in Å.
Sites, in units of the cell vectors:
Zn  0.6839  0.6839  0.3678  4 Hf 2.86
Hf  0.3115  0.3115  0.6230  4 Zn 2.86
Th  0.0046  0.0046  0.0091  4 Zn 3.26, 4 Th 3.37, 4 Hf 3.38

8.
This record from Alexandria describes a geometry-optimized Tm5Co4Hg structure. The functional is PBE.

Summary:
Calculated formation energy = -0.280 eV/atom
DOS(E_F) = 5.17 states/eV/cell
Calculated density = 11.100 g/cm³

Lattice parameters (Å, degrees): 3.3222 3.3222 17.3631 90.00 90.00 90.00
Last column: nearest neighbours and their distance in Å.
Sites, in units of the cell vectors:
Tm  0.5000  0.5000  0.8754  4 Co 2.83
Tm  0.5000  0.5000  0.5000  8 Co 2.86
Tm  0.5000  0.5000  0.1246  4 Co 2.83
Tm  0.5000  0.5000  0.3124  8 Co 2.85-2.89
Tm  0.5000  0.5000  0.6876  8 Co 2.85-2.89
Hg  0.0000  0.0000  0.0000  8 Tm 3.19, 4 Hg 3.32
Co  0.0000  0.0000  0.4057  8 Tm 2.85-2.86
Co  0.0000  0.0000  0.5943  8 Tm 2.85-2.86
Co  0.0000  0.0000  0.7847  8 Tm 2.83-2.89
Co  0.0000  0.0000  0.2153  8 Tm 2.83-2.89